Record 1
# La4PPbS2

A relaxed La4PPbS2 crystal (PBE, the Alexandria database).

## Properties
The total DFT energy (no corrections) is -6.211 eV/atom. For the density of states at the Fermi level, the calculation gives 3.1 states/eV/cell.

Geometry as CIF:
```
data_La4PPbS2
_symmetry_space_group_name_H-M 'P 1 2/m 1'
_symmetry_Int_Tables_number 10
_cell_length_a 7.461
_cell_length_b 4.325
_cell_length_c 7.568
_cell_angle_alpha 90.00
_cell_angle_beta 109.61
_cell_angle_gamma 90.00
loop_
_symmetry_equiv_pos_as_xyz
'x,y,z'
'-x,-y,-z'
'-x,y,-z'
'x,-y,z'
loop_
_atom_site_label
_atom_site_fract_x
_atom_site_fract_y
_atom_site_fract_z
_atom_site_occupancy
La1 0.236 0.000 0.232 1
La2 0.248 0.500 0.761 1
P1 0.500 0.000 0.000 1
Pb1 0.500 0.500 0.500 1
S1 0.000 0.000 0.500 1
S2 0.000 0.500 0.000 1
```

---

Record 2
# ZrZnRu

A relaxed ZrZnRu crystal (PBE, the Alexandria database).

## Properties
The calculation puts the formation energy at -0.073 eV per atom. For the density of states at the Fermi level, the calculation gives 5.2 states/eV/cell.

Geometry as CIF:
```
data_ZrZnRu
_symmetry_space_group_name_H-M 'F -4 3 m'
_symmetry_Int_Tables_number 216
_symmetry_space_group_name_Hall 'F -4 2 3'
_cell_length_a 6.177
_cell_length_b 6.177
_cell_length_c 6.177
_cell_angle_alpha 90.00
_cell_angle_beta 90.00
_cell_angle_gamma 90.00
loop_
_atom_site_label
_atom_site_fract_x
_atom_site_fract_y
_atom_site_fract_z
_atom_site_occupancy
Zr1 0.000 0.000 0.000 1
Zn1 0.000 0.000 0.500 1
Ru1 0.250 0.250 0.250 1
```

---

Record 3
# ZrAlHg3

A relaxed ZrAlHg3 crystal (PBE, the Alexandria database).

## Properties
The calculation puts the formation energy at 0.780 eV per atom. For the density of states at the Fermi level, the calculation gives 7.2 states/eV/cell.

Geometry as CIF:
```
data_ZrAlHg3
_symmetry_space_group_name_H-M 'P m -3 m'
_symmetry_Int_Tables_number 221
_symmetry_space_group_name_Hall '-P 4 2 3'
_cell_length_a 5.598
_cell_length_b 5.598
_cell_length_c 5.598
_cell_angle_alpha 90.00
_cell_angle_beta 90.00
_cell_angle_gamma 90.00
loop_
_atom_site_label
_atom_site_fract_x
_atom_site_fract_y
_atom_site_fract_z
_atom_site_occupancy
Zr1 0.000 0.000 0.000 1
Al1 0.500 0.500 0.500 1
Hg1 0.000 0.000 0.500 1
```

---

Record 4
# MgSiBr2

A relaxed MgSiBr2 crystal (PBE, the Alexandria database).

## Properties
The total DFT energy (no corrections) is -2.287 eV/atom. For the density of states at the Fermi level, the calculation gives 12.0 states/eV/cell.

Geometry as CIF:
```
data_MgSiBr2
_symmetry_space_group_name_H-M 'F -4 3 m'
_symmetry_Int_Tables_number 216
_symmetry_space_group_name_Hall 'F -4 2 3'
_cell_length_a 7.312
_cell_length_b 7.312
_cell_length_c 7.312
_cell_angle_alpha 90.00
_cell_angle_beta 90.00
_cell_angle_gamma 90.00
loop_
_atom_site_label
_atom_site_fract_x
_atom_site_fract_y
_atom_site_fract_z
_atom_site_occupancy
Mg1 0.000 0.000 0.000 1
Si1 0.250 0.250 0.250 1
Br1 0.000 0.000 0.500 1
Br2 0.250 0.250 0.750 1
```

---

Record 5
# AsRuCl2

A relaxed AsRuCl2 crystal (PBE, the Alexandria database).

## Properties
The total DFT energy (no corrections) is -3.990 eV/atom. For the density of states at the Fermi level, the calculation gives 8.9 states/eV/cell.

Geometry as CIF:
```
data_AsRuCl2
_symmetry_space_group_name_H-M 'R -3 m'
_symmetry_Int_Tables_number 166
_symmetry_space_group_name_Hall '-R 3 2"'
_cell_length_a 3.0379
_cell_length_b 3.0379
_cell_length_c 27.4289
_cell_angle_alpha 90.00
_cell_angle_beta 90.00
_cell_angle_gamma 120.00
loop_
_atom_site_label
_atom_site_fract_x
_atom_site_fract_y
_atom_site_fract_z
_atom_site_occupancy
As1 0.0000 0.0000 0.0000 1
Ru1 0.0000 0.0000 0.5000 1
Cl1 0.0000 0.0000 0.4182 1
```

---

Record 6
# AlNi9As2

A relaxed AlNi9As2 crystal (PBE, the Alexandria database).

## Properties
The calculation puts the formation energy at -0.271 eV per atom. For the density of states at the Fermi level, the calculation gives 7.0 states/eV/cell.

Geometry as CIF:
```
data_AlNi9As2
_symmetry_space_group_name_H-M 'P 4/m m m'
_symmetry_Int_Tables_number 123
_symmetry_space_group_name_Hall '-P 4 2'
_cell_length_a 3.577
_cell_length_b 3.577
_cell_length_c 10.757
_cell_angle_alpha 90.00
_cell_angle_beta 90.00
_cell_angle_gamma 90.00
loop_
_atom_site_label
_atom_site_fract_x
_atom_site_fract_y
_atom_site_fract_z
_atom_site_occupancy
Al1 0.000 0.000 0.000 1
Ni1 0.000 0.500 0.167 1
Ni2 0.000 0.500 0.500 1
Ni3 0.500 0.500 0.000 1
Ni4 0.500 0.500 0.336 1
As1 0.000 0.000 0.328 1
```